Material: CaSbSe
Method: DFT, SCAN
State: single point on PBEsol structure

## Properties
Magnetization in μB per atom: 0.000
Uncorrected formation energy in eV/atom: -0.64
Crystal system: hexagonal

```
data_CaSbSe
_chemical_formula_sum 'Ca1 Sb1 Se1'
_symmetry_space_group_name_H-M 'P -6 m 2'
_symmetry_Int_Tables_number 187
_symmetry_space_group_name_Hall 'P -6 2'
_cell_length_a 4.9841
_cell_length_b 4.9841
_cell_length_c 3.6311
_cell_angle_alpha 90.00
_cell_angle_beta 90.00
_cell_angle_gamma 120.00
loop_
_atom_site_label
_atom_site_type_symbol
_atom_site_fract_x
_atom_site_fract_y
_atom_site_fract_z
Ca1 Ca 0.0000 0.0000 0.0000
Sb1 Sb 0.3333 0.6667 0.5000
Se1 Se 0.6667 0.3333 0.5000
```